Entry 1:
The following is a GGA-PBE calculation of a relaxed structure of Y2Tc2Pd, from the Alexandria database.

Geometry as extended XYZ:
```
10
Lattice="6.9008 0.0000 0.0000 0.0000 6.9008 0.0000 0.0000 0.0000 4.3942" Properties=species:S:1:pos:R:3 pbc="T T T"
Y 1.2567 2.1937 0.0000
Y 2.1937 5.6441 0.0000
Y 4.7071 1.2567 0.0000
Y 5.6441 4.7071 0.0000
Tc 0.8011 4.2515 2.1971
Tc 2.6493 0.8011 2.1971
Tc 4.2515 6.0997 2.1971
Tc 6.0997 2.6493 2.1971
Pd 0.0000 0.0000 2.1971
Pd 3.4504 3.4504 2.1971
```

Final energy: -78.65 eV per cell
Symmetry: P4/mbm, No. 127
Magnetization: 0.00 μB/cell
Calculated density: 7.622 Mg/m³
Crystal system: tetragonal

***

Entry 2:
The following is a GGA-PBE calculation of a relaxed structure of Rb5Hg2Ge4, from the Alexandria database.

Geometry as extended XYZ:
```
11
Lattice="4.8013 -5.2997 0.0000 4.8013 5.2997 0.0000 -0.9275 0.0000 8.8655" Properties=species:S:1:pos:R:3 pbc="T T T"
Rb 0.0000 0.0000 0.0000
Rb 3.3480 2.2098 2.5869
Rb 5.3271 2.2098 6.2786
Rb 3.3480 -2.2098 2.5869
Rb 5.3271 -2.2098 6.2786
Hg 2.6820 0.0000 8.0539
Hg 5.9930 0.0000 0.8116
Ge 0.6134 0.0000 3.7538
Ge 2.3717 0.0000 5.3962
Ge 6.3034 0.0000 3.4693
Ge 8.0617 0.0000 5.1116
```

Final energy: -24.70 eV per cell
Symmetry: C2/m, No. 12
Magnetization: 0.00 μB/cell
Calculated density: 4.119 Mg/m³
Crystal system: monoclinic

***

Entry 3:
The following is a GGA-PBE calculation of a relaxed structure of MgBS2, from the Alexandria database.

Geometry as extended XYZ:
```
4
Lattice="1.5953 0.9210 7.3042 -1.5953 0.9210 7.3042 0.0000 -1.8421 7.3042" Properties=species:S:1:pos:R:3 pbc="T T T"
Mg 0.0000 0.0000 0.0000
B 0.0000 0.0000 10.9563
S 0.0000 0.0000 2.5081
S 0.0000 0.0000 19.4045
```

Symmetry: R-3m, No. 166
Magnetization: 0.00 μB/cell
Calculated density: 2.559 Mg/m³
Crystal system: trigonal
Polymorph energy (0 for the lowest one): 546 meV/atom

***

What is the formula in the third record?
MgBS2

***

The highest calculated density belongs to which entry?
Y2Tc2Pd

***

Look up the calculated density of the first one.
7.622 Mg/m³